Record 1
{
  "formula": "Al2ZnCr2",
  "functional": "GGA-PBE",
  "state": "optimized geometry",
  "sg": "I4/mmm",
  "magnetic_moment_mub_per_cell": 1.55,
  "e_above_lowest_polymorph_ev_per_atom": 0.345,
  "e_form_ev_per_atom": 0.457,
  "lattice": [[3.628, 0.000, 0.000], [0.000, 3.628, 0.000], [1.814, 1.814, 5.821]],
  "species": ["Cr", "Zn", "Al", "Al", "Cr"],
  "frac_coords": [[0.414, 0.414, 0.172], [0.000, 0.000, 0.000], [0.250, 0.750, 0.500], [0.750, 0.250, 0.500], [0.586, 0.586, 0.828]]
}

Record 2
{
  "formula": "Be2AgBr",
  "functional": "GGA-PBE",
  "state": "optimized geometry",
  "sg": "P2/m",
  "formation_energy_uncorrected_ev_per_atom": 0.570,
  "magnetic_moment_mub_per_cell": 0.00,
  "e_above_lowest_polymorph_ev_per_atom": 0.391,
  "lattice": [[3.388, 0.000, 0.000], [0.000, 6.278, 0.348], [0.000, 4.537, 3.320]],
  "species": ["Be", "Br", "Be", "Ag"],
  "frac_coords": [[0.000, 0.000, 0.000], [0.500, 0.500, 0.500], [0.500, 0.500, 0.000], [0.000, 0.000, 0.500]]
}

Record 3
{
  "formula": "Ba2HoPaS6",
  "functional": "GGA-PBE",
  "state": "optimized geometry",
  "sg": "P2_1/c",
  "formation_energy_uncorrected_ev_per_atom": -1.995,
  "magnetic_moment_mub_per_cell": 0.00,
  "lattice": [[7.232, 0.000, -0.028], [0.000, 7.486, 0.000], [0.025, 0.000, 10.370]],
  "species": ["Ba", "S", "S", "Pa", "S", "S", "Ho", "Pa", "S", "S", "S", "Ba", "Ho", "Ba", "S", "S", "S", "S", "Ba", "S"],
  "frac_coords": [[0.483, 0.440, 0.251], [0.916, 0.519, 0.253], [0.584, 0.019, 0.247], [0.000, 0.500, 0.500], [0.792, 0.798, 0.956], [0.416, 0.981, 0.753], [0.000, 0.500, 0.000], [0.500, 0.000, 0.000], [0.201, 0.209, 0.455], [0.084, 0.481, 0.747], [0.299, 0.709, 0.045], [0.983, 0.060, 0.751], [0.500, 0.000, 0.500], [0.017, 0.940, 0.249], [0.292, 0.702, 0.456], [0.701, 0.291, 0.955], [0.708, 0.298, 0.544], [0.799, 0.791, 0.545], [0.517, 0.560, 0.749], [0.208, 0.202, 0.044]]
}

Record 4
{
  "formula": "InCu3Ru",
  "functional": "GGA-PBE",
  "state": "optimized geometry",
  "sg": "Pm-3m",
  "magnetic_moment_mub_per_cell": 1.98,
  "e_form_ev_per_atom": 1.469,
  "lattice": [[4.665, 0.000, 0.000], [0.000, 4.665, 0.000], [0.000, 0.000, 4.665]],
  "species": ["Cu", "In", "Cu", "Ru", "Cu"],
  "frac_coords": [[0.500, 0.000, 0.000], [0.000, 0.000, 0.000], [0.000, 0.500, 0.000], [0.500, 0.500, 0.500], [0.000, 0.000, 0.500]]
}

Record 5
{
  "formula": "NiP2Rh2",
  "functional": "GGA-PBE",
  "state": "optimized geometry",
  "sg": "P4/mbm",
  "magnetic_moment_mub_per_cell": 0.00,
  "e_form_ev_per_atom": -0.282,
  "lattice": [[-0.565, -5.813, -2.657], [4.128, -2.368, 4.303], [-2.421, -0.660, 1.959]],
  "species": ["Rh", "Rh", "P", "Rh", "Ni", "P", "P", "Ni", "Rh", "P"],
  "frac_coords": [[0.649, 0.851, 0.500], [0.851, 0.351, 0.500], [0.848, 0.652, 0.000], [0.351, 0.149, 0.500], [0.000, 0.000, 0.000], [0.152, 0.348, 0.000], [0.652, 0.152, 0.000], [0.500, 0.500, 0.000], [0.149, 0.649, 0.500], [0.348, 0.848, 0.000]]
}

Record 6
{
  "formula": "Rb4Nd3TiS8",
  "functional": "GGA-PBE",
  "state": "optimized geometry",
  "sg": "R-3m",
  "formation_energy_uncorrected_ev_per_atom": -1.637,
  "magnetic_moment_mub_per_cell": 1.00,
  "lattice": [[8.214, 0.000, 0.000], [0.000, 9.021, 0.558], [-4.107, -4.100, 5.812]],
  "species": ["Rb", "S", "S", "Ti", "Nd", "Rb", "S", "S", "S", "Rb", "S", "S", "Rb", "Nd", "Nd", "S"],
  "frac_coords": [[0.000, 0.000, 0.500], [0.783, 0.311, 0.028], [0.217, 0.689, 0.434], [0.000, 0.500, 0.000], [0.500, 0.500, 0.000], [0.500, 0.000, 0.500], [0.783, 0.311, 0.566], [0.266, 0.298, 0.532], [0.245, 0.311, 0.028], [0.500, 0.000, 0.000], [0.734, 0.702, 0.468], [0.755, 0.689, 0.972], [0.000, 0.000, 0.000], [0.500, 0.500, 0.500], [0.000, 0.500, 0.500], [0.217, 0.689, 0.972]]
}

Record 7
{
  "formula": "Pm3ErIn3",
  "functional": "GGA-PBE",
  "state": "optimized geometry",
  "sg": "P2_13",
  "magnetic_moment_mub_per_cell": 0.00,
  "e_above_lowest_polymorph_ev_per_atom": 0.000,
  "e_form_ev_per_atom": -0.326,
  "lattice": [[9.465, 0.000, 0.000], [0.000, 9.465, 0.000], [0.000, 0.000, 9.465]],
  "species": ["Er", "In", "Pm", "Er", "Pm", "Er", "In", "Pm", "Pm", "Pm", "In", "In", "Pm", "In", "In", "Pm", "In", "Pm", "In", "In", "In", "Pm", "Er", "Pm", "Pm", "Pm", "In", "In"],
  "frac_coords": [[0.422, 0.422, 0.422], [0.744, 0.368, 0.496], [0.569, 0.069, 0.431], [0.078, 0.578, 0.922], [0.931, 0.931, 0.931], [0.922, 0.078, 0.578], [0.496, 0.744, 0.368], [0.323, 0.823, 0.677], [0.431, 0.569, 0.069], [0.329, 0.171, 0.829], [0.996, 0.756, 0.632], [0.132, 0.504, 0.244], [0.177, 0.177, 0.177], [0.244, 0.132, 0.504], [0.632, 0.996, 0.756], [0.171, 0.829, 0.329], [0.868, 0.004, 0.256], [0.823, 0.677, 0.323], [0.004, 0.256, 0.868], [0.756, 0.632, 0.996], [0.368, 0.496, 0.744], [0.829, 0.329, 0.171], [0.578, 0.922, 0.078], [0.069, 0.431, 0.569], [0.671, 0.671, 0.671], [0.677, 0.323, 0.823], [0.256, 0.868, 0.004], [0.504, 0.244, 0.132]]
}

Record 8
{
  "formula": "VCoHRh2",
  "functional": "GGA-PBE",
  "state": "optimized geometry",
  "sg": "P4/mmm",
  "magnetic_moment_mub_per_cell": 0.71,
  "e_above_lowest_polymorph_ev_per_atom": 0.000,
  "lattice": [[3.845, 0.000, 0.000], [0.000, 3.845, 0.000], [0.000, 0.000, 3.689]],
  "species": ["V", "Rh", "Rh", "Co", "H"],
  "frac_coords": [[0.500, 0.500, 0.500], [0.000, 0.500, 0.000], [0.500, 0.000, 0.000], [0.000, 0.000, 0.500], [0.000, 0.000, 0.000]]
}